DySc2Ni after structural relaxation, computed with PBE-GGA.

Cell: 3.2469 3.2469 8.2682 Å, 90.00 90.00 90.00°
Last column: nearest neighbours and their distance in Å.
Sites, in units of the cell vectors:
Sc (0.0000, 0.0000, 0.8165)  4 Ni 2.75, 1 Sc 3.03
Ni (0.5000, 0.5000, 0.0000)  8 Sc 2.75
Sc (0.0000, 0.0000, 0.1835)  4 Ni 2.75, 1 Sc 3.03
Dy (0.5000, 0.5000, 0.5000)  4 Dy 3.25, 8 Sc 3.48

Its space-group type is P4/mmm. The value obtained for the volume is 87.2 Å³/cell. Its formation energy is -199 meV per atom. The uncorrected energy is -5.961 eV/atom.